1.
MgNb3Pd SCAN PBEsol geometry; calculated volume = 114 Å³/cell; formation energy from the elements = 5.61 eV per formula unit
1.0
-4.641 -0.891 1.059
-0.350 -2.830 -3.914
1.339 -3.827 2.647
Pd Nb Mg
1 3 1
direct
0.000 0.000 0.000
0.000 0.500 0.000
0.500 0.000 0.000
0.000 0.000 0.500
0.500 0.500 0.500

---

2.
Mg2ScSi SCAN PBEsol geometry; calculated volume = 80 Å³/cell; formation energy from raw total energies = -2.52 kcal/mol of atoms
1.0
3.154 0.000 0.000
0.000 3.154 0.000
0.000 0.000 8.059
Mg Sc Si
2 1 1
direct
0.000 0.000 0.964
0.500 0.500 0.247
0.000 0.000 0.542
0.500 0.500 0.748

---

3.
LaSiSb2Te SCAN PBEsol geometry; calculated volume = 142 Å³/cell; formation energy from raw total energies = -3.46 kcal/mol of atoms
1.0
5.158 0.000 0.000
0.000 5.158 0.000
0.000 0.000 5.345
Sb La Si Te
2 1 1 1
direct
0.500 0.000 0.000
0.000 0.500 0.000
0.500 0.500 0.500
0.000 0.000 0.000
0.000 0.000 0.500

---

4.
CrReTc3 SCAN PBEsol geometry; calculated volume = 98 Å³/cell; formation energy from the elements = 8.11 eV per formula unit
1.0
4.609 0.000 0.000
0.000 4.609 0.000
0.000 0.000 4.609
Tc Cr Re
3 1 1
direct
0.000 0.500 0.000
0.000 0.000 0.500
0.500 0.000 0.000
0.500 0.500 0.500
0.000 0.000 0.000

---

5.
TaMnFe SCAN PBEsol geometry; calculated volume = 43 Å³/cell; relative energy among the computed polymorphs = 0.6127 eV/atom; formation energy from the elements = 2.29 eV per formula unit
1.0
3.936 0.000 0.000
1.968 3.409 0.000
1.968 1.136 3.214
Fe Mn Ta
1 1 1
direct
0.500 0.500 0.500
0.250 0.250 0.250
0.000 0.000 0.000

---

6.
Mg2CrNi SCAN PBEsol geometry; calculated volume = 57 Å³/cell; relative energy among the computed polymorphs = 0.2782 eV/atom; formation energy from the elements = 1.41 eV per formula unit
1.0
2.733 0.000 0.000
1.366 2.367 0.000
1.366 0.789 8.795
Mg Ni Cr
2 1 1
direct
0.246 0.246 0.263
0.754 0.754 0.737
0.500 0.500 0.500
0.000 0.000 0.000

---

7.
CdNi SCAN PBEsol geometry; calculated volume = 58 Å³/cell; formation energy from the elements = 0.26 eV per formula unit
1.0
-2.711 0.043 -0.771
-1.239 -0.732 4.312
1.628 4.712 -0.310
Ni Cd
2 2
direct
0.353 0.149 0.706
0.647 0.851 0.294
0.108 0.323 0.216
0.892 0.677 0.784

---

8.
ZnTeMo2 SCAN PBEsol geometry; calculated volume = 67 Å³/cell; formation energy from raw total energies = 10.50 kcal/mol of atoms; relative energy among the computed polymorphs = 0.0051 eV/atom
1.0
-1.976 -1.837 -1.702
2.929 -3.623 0.509
-3.130 0.062 3.569
Te Mo Zn
1 2 1
direct
0.500 0.000 0.500
0.500 0.500 0.000
0.000 0.000 0.000
0.000 0.500 0.500

---

9.
CdRe2Te SCAN PBEsol geometry; calculated volume = 69 Å³/cell; formation energy from raw total energies = 21.21 kcal/mol of atoms; relative energy among the computed polymorphs = 0.3885 eV/atom
1.0
-3.004 -0.260 -0.226
-1.204 -2.064 -1.852
-1.386 -6.617 5.806
Re Te Cd
2 1 1
direct
0.756 0.756 0.733
0.244 0.244 0.267
0.500 0.500 0.500
0.000 0.000 0.000

---

10.
YIn2PtI SCAN PBEsol geometry; calculated volume = 144 Å³/cell; formation energy from raw total energies = -0.07 kcal/mol of atoms
1.0
5.056 0.000 0.000
0.000 5.056 0.000
0.000 0.000 5.639
In Pt I Y
2 1 1 1
direct
0.000 0.500 0.000
0.500 0.000 0.000
0.000 0.000 0.000
0.000 0.000 0.500
0.500 0.500 0.500

---

11.
Ag4Pt7 SCAN PBEsol geometry; calculated volume = 170 Å³/cell; relative energy among the computed polymorphs = 0.0229 eV/atom; formation energy from the elements = 0.22 eV per formula unit
1.0
-1.842 1.495 1.394
-5.484 -1.798 -2.603
-1.902 -6.650 7.337
Ag Pt
4 7
direct
0.274 0.359 0.094
0.001 0.000 0.998
0.095 0.449 0.361
0.633 0.188 0.545
0.365 0.814 0.455
0.731 0.628 0.910
0.825 0.073 0.277
0.899 0.564 0.638
0.177 0.917 0.730
0.455 0.278 0.813
0.546 0.730 0.179

---

12.
MgRe2Te SCAN PBEsol geometry; calculated volume = 67 Å³/cell; formation energy from raw total energies = 12.32 kcal/mol of atoms; relative energy among the computed polymorphs = 0.0000 eV/atom
1.0
-2.956 0.865 -0.684
-1.063 0.057 4.666
3.042 3.813 -1.050
Re Mg Te
2 1 1
direct
0.735 0.286 0.470
0.014 0.943 0.027
0.263 0.801 0.526
0.488 0.470 0.977

---

13.
LiCa2Cd SCAN PBEsol geometry; calculated volume = 113 Å³/cell; relative energy among the computed polymorphs = 0.0446 eV/atom; formation energy from the elements = -0.78 eV per formula unit
1.0
3.721 0.000 0.000
0.000 5.456 0.000
-1.861 -2.728 5.566
Cd Ca Li
1 2 1
direct
0.524 0.524 0.048
0.987 0.987 0.973
0.777 0.277 0.555
0.212 0.712 0.423

---

14.
HgAsP2 SCAN PBEsol geometry; calculated volume = 76 Å³/cell; formation energy from the elements = 1.64 eV per formula unit
1.0
3.122 0.000 0.000
0.000 3.711 0.000
-1.561 -1.856 6.575
P As Hg
2 1 1
direct
0.679 0.179 0.357
0.059 0.059 0.117
0.462 0.462 0.924
0.300 0.800 0.601

---

15.
BPt3Pb SCAN PBEsol geometry; calculated volume = 126 Å³/cell; relative energy among the computed polymorphs = 2.2544 eV/atom; formation energy from the elements = 11.40 eV per formula unit
1.0
-4.191 2.116 1.759
1.360 -1.193 4.676
2.392 4.386 0.423
B Pb Pt
1 1 3
direct
0.500 0.500 0.500
0.000 0.000 0.000
0.000 0.000 0.500
0.000 0.500 0.000
0.500 0.000 0.000

---

16.
Bi3O2F5 SCAN PBEsol geometry; calculated volume = 602 Å³/cell; formation energy from raw total energies = -46.78 kcal/mol of atoms; relative energy among the computed polymorphs = 0.0304 eV/atom
1.0
5.887 0.000 0.000
0.000 8.074 -0.055
0.000 -4.075 12.692
Bi F O
12 20 8
direct
0.022 0.078 0.143
0.532 0.418 0.291
0.468 0.918 0.291
0.980 0.250 0.500
0.568 0.250 0.000
0.978 0.578 0.143
0.022 0.422 0.857
0.532 0.082 0.709
0.020 0.750 0.500
0.978 0.922 0.857
0.432 0.750 0.000
0.468 0.582 0.709
0.227 0.134 0.836
0.202 0.451 0.450
0.550 0.630 0.204
0.450 0.370 0.796
0.841 0.911 0.652
0.284 0.765 0.635
0.773 0.866 0.164
0.798 0.549 0.550
0.716 0.265 0.635
0.284 0.735 0.365
0.159 0.089 0.348
0.773 0.634 0.836
0.716 0.235 0.365
0.798 0.951 0.450
0.159 0.411 0.652
0.227 0.366 0.164
0.450 0.130 0.204
0.841 0.589 0.348
0.202 0.049 0.550
0.550 0.870 0.796
0.221 0.520 0.003
0.762 0.333 0.156
0.779 0.480 0.997
0.221 0.980 0.997
0.238 0.667 0.844
0.779 0.020 0.003
0.762 0.167 0.844
0.238 0.833 0.156

---

17.
LiFe2OF5 SCAN PBEsol geometry; calculated volume = 206 Å³/cell; formation energy from raw total energies = -54.58 kcal/mol of atoms
1.0
-4.246 2.804 1.247
-0.504 -3.998 -3.606
0.480 -4.521 7.415
F Fe O Li
10 4 2 2
direct
0.112 0.627 0.759
0.437 0.351 0.260
0.608 0.118 0.767
0.738 0.691 0.933
0.843 0.936 0.248
0.189 0.263 0.922
0.068 0.991 0.578
0.959 0.429 0.408
0.436 0.988 0.407
0.480 0.603 0.582
0.086 0.062 0.082
0.272 0.798 0.577
0.621 0.124 0.240
0.948 0.466 0.936
0.811 0.251 0.087
0.284 0.827 0.083
0.211 0.233 0.449
0.501 0.848 0.894

---

18.
MoIrN2 SCAN PBEsol geometry; calculated volume = 39 Å³/cell; formation energy from raw total energies = 24.89 kcal/mol of atoms; relative energy among the computed polymorphs = 0.8955 eV/atom
1.0
-2.624 -1.704 2.173
0.345 -3.695 0.858
0.866 -1.057 3.556
Ir N Mo
1 2 1
direct
0.500 0.500 0.500
0.750 0.750 0.750
0.250 0.250 0.250
0.000 0.000 0.000

---

19.
BeRuSe SCAN PBEsol geometry; calculated volume = 40 Å³/cell; formation energy from raw total energies = 7.99 kcal/mol of atoms
1.0
-0.682 -2.090 2.165
2.239 -2.600 -1.804
1.519 2.316 2.713
Ru Se Be
1 1 1
direct
0.000 0.333 0.667
0.500 0.667 0.333
0.000 0.000 0.000

---

20.
MnZn3Se SCAN PBEsol geometry; calculated volume = 111 Å³/cell; formation energy from raw total energies = 16.60 kcal/mol of atoms
1.0
-1.749 4.115 -1.742
-2.832 0.427 3.851
3.457 2.432 2.273
Zn Se Mn
3 1 1
direct
0.500 0.000 0.000
0.000 0.500 0.000
0.000 0.000 0.500
0.000 0.000 0.000
0.500 0.500 0.500

---

21.
Zr2AlAu SCAN PBEsol geometry; calculated volume = 76 Å³/cell; formation energy from the elements = -2.41 eV per formula unit
1.0
-2.131 2.207 0.978
-2.679 -3.498 2.054
4.875 1.191 2.635
Zr Al Au
2 1 1
direct
0.989 0.989 0.977
0.755 0.255 0.509
0.524 0.524 0.047
0.233 0.733 0.466

---

22.
Ba5Tm2ZrAl2O13 SCAN PBEsol geometry; calculated volume = 754 Å³/cell; formation energy from raw total energies = -79.50 kcal/mol of atoms
1.0
5.923 0.000 0.000
-2.962 5.130 0.000
0.000 0.000 24.823
Ba O Al Tm Zr
10 26 4 4 2
direct
0.000 0.000 0.137
0.000 0.000 0.863
0.000 0.000 0.363
0.000 0.000 0.637
0.333 0.667 0.542
0.667 0.333 0.750
0.667 0.333 0.458
0.333 0.667 0.958
0.333 0.667 0.250
0.667 0.333 0.042
0.163 0.837 0.050
0.163 0.327 0.450
0.504 0.496 0.343
0.163 0.837 0.450
0.837 0.673 0.950
0.008 0.504 0.843
0.673 0.837 0.050
0.496 0.992 0.843
0.673 0.837 0.450
0.333 0.667 0.750
0.504 0.008 0.157
0.008 0.504 0.657
0.496 0.504 0.843
0.837 0.163 0.550
0.504 0.008 0.343
0.163 0.327 0.050
0.837 0.163 0.950
0.327 0.163 0.950
0.496 0.992 0.657
0.327 0.163 0.550
0.992 0.496 0.157
0.496 0.504 0.657
0.504 0.496 0.157
0.837 0.673 0.550
0.992 0.496 0.343
0.667 0.333 0.250
0.667 0.333 0.320
0.333 0.667 0.680
0.333 0.667 0.820
0.667 0.333 0.180
0.333 0.667 0.104
0.667 0.333 0.896
0.667 0.333 0.604
0.333 0.667 0.396
0.000 0.000 0.000
0.000 0.000 0.500

---

23.
Mg3Ir2 SCAN PBEsol geometry; calculated volume = 80 Å³/cell; formation energy from the elements = -1.14 eV per formula unit
1.0
-2.175 1.892 -0.179
-2.223 -0.519 -1.770
-6.763 -4.854 7.563
Mg Ir
3 2
direct
0.793 0.793 0.620
0.000 0.000 0.000
0.207 0.207 0.380
0.603 0.603 0.191
0.397 0.397 0.809